# 1
CaPm6Nd3Dy2 | PBE | optimized geometry

Properties
**Formation energy**: 0.04 eV/atom

Lattice parameters (Å, degrees): 6.3487 11.0022 12.0522 90.00 100.07 90.00
Closest atoms and distances in Å follow each position.
Space group C2/m (No. 12)
Unique sites:
Ca  0.0000  0.0000  0.0000  6 Pm 3.66-3.67, 6 Dy 3.67
Pm  0.2434  0.5000  0.2495  3 Nd 3.62-3.66, 6 Pm 3.63-3.75, 2 Dy 3.63, 1 Ca 3.66
Pm  0.2457  0.3296  0.7509  2 Dy 3.62, 6 Pm 3.63-3.75, 3 Nd 3.63-3.67, 1 Ca 3.67
Nd  0.0000  0.1662  0.5000  6 Pm 3.63-3.67, 6 Nd 3.66-3.67
Nd  0.0000  0.5000  0.5000  6 Pm 3.62-3.67, 6 Nd 3.66-3.67
Dy  0.0000  0.3332  0.0000  6 Pm 3.62-3.63, 3 Dy 3.66-3.67, 3 Ca 3.67



# 2
ZnWAu2 | PBE | optimized geometry

Properties
**Formation energy**: 0.29 eV/atom

Lattice parameters (Å, degrees): 9.4297 2.7814 5.1738 90.00 100.91 90.00
Closest atoms and distances in Å follow each position.
Space group Cm (No. 8)
Unique sites:
Zn  0.0000  0.0000  0.0000  7 Au 2.74-3.00, 3 W 2.77-3.05, 2 Zn 2.78
W  0.2373  0.5000  0.2648  3 Zn 2.77-3.05, 7 Au 2.77-2.97, 2 W 2.78
Au  0.2564  0.0000  0.7780  3 Zn 2.74-2.87, 5 Au 2.78-3.01, 4 W 2.91-2.97
Au  0.4910  0.0000  0.4838  3 W 2.77-2.81, 5 Au 2.78-3.01, 4 Zn 2.88-3.00



# 3
FeReRh2 | PBE | optimized geometry

Properties
**ΔE to the lowest computed polymorph**: 25 meV per atom
**Formation energy**: -0.06 eV/atom

Lattice parameters (Å, degrees): 3.8033 3.8033 7.6028 90.00 90.00 90.00
Closest atoms and distances in Å follow each position.
Space group I4/mmm (No. 139)
Unique sites:
Fe  0.0000  0.0000  0.0000  8 Rh 2.69, 4 Re 2.69
Re  0.0000  0.0000  0.5000  8 Rh 2.69, 4 Fe 2.69
Rh  0.0000  0.5000  0.2500  4 Fe 2.69, 4 Re 2.69, 4 Rh 2.69



# 4
NdYTe2 | PBE | optimized geometry

Properties
**ΔE to the lowest computed polymorph**: 0 meV per atom
**ΔE_f (raw)**: -5.58 eV/f.u.

Lattice parameters (Å, degrees): 4.3053 4.3053 23.1055 90.00 90.00 120.00
Closest atoms and distances in Å follow each position.
Space group R3m (No. 160, hexagonal axes)
Unique sites:
Nd  0.0000  0.0000  0.0000  6 Te 3.15-3.25
Y  0.0000  0.0000  0.1744  6 Te 3.03-3.15
Te  0.0000  0.0000  0.5830  3 Y 3.03, 3 Nd 3.15
Te  0.0000  0.0000  0.7576  3 Y 3.15, 3 Nd 3.25



# 5
Tb3In2SiRu3 | PBE | optimized geometry

Properties
**ΔE_f (raw)**: -4.12 eV/f.u.

Lattice parameters (Å, degrees): 7.7054 7.7054 3.5526 90.00 90.00 120.00
Closest atoms and distances in Å follow each position.
Space group P-62m (No. 189)
Unique sites:
Tb  0.0000  0.3653  0.0000  1 Si 2.82, 4 In 3.03, 4 Ru 3.04
In  0.3333  0.6667  0.5000  6 Tb 3.03, 3 Ru 3.06
Si  0.0000  0.0000  0.0000  6 Ru 2.50
Ru  0.0000  0.7723  0.5000  2 Si 2.50



# 6
BiTePb2 | PBE | optimized geometry

Properties
**ΔE to the lowest computed polymorph**: 47 meV per atom
**ΔE_f (raw)**: -0.31 eV/f.u.

Lattice parameters (Å, degrees): 4.4950 4.4950 23.8911 90.00 90.00 120.00
Closest atoms and distances in Å follow each position.
Space group R-3m (No. 166, hexagonal axes)
Unique sites:
Bi  0.0000  0.0000  0.0000  6 Pb 3.28
Te  0.0000  0.0000  0.5000  6 Pb 3.26
Pb  0.0000  0.0000  0.2495  3 Te 3.26, 3 Bi 3.28



# 7
TaCl3 | PBE | optimized geometry

Properties
**ΔE_f (raw)**: 1.38 eV/f.u.

Lattice parameters (Å, degrees): 8.9544 8.9544 3.1818 90.00 90.00 120.00
Closest atoms and distances in Å follow each position.
Space group R-3m (No. 166, hexagonal axes)
Unique sites:
Ta  0.0000  0.0000  0.0000  6 Cl 2.79
Cl  0.0000  0.5000  0.0000  2 Ta 2.79, 4 Cl 2.79



# 8
Nb3FeSb | PBE | optimized geometry

Properties
**ΔE to the lowest computed polymorph**: 1605 meV per atom
**ΔE_f (raw)**: 10.28 eV/f.u.

Lattice parameters (Å, degrees): 4.9844 4.9844 4.9844 90.00 90.00 90.00
Closest atoms and distances in Å follow each position.
Space group Pm-3m (No. 221)
Unique sites:
Nb  0.0000  0.0000  0.5000  2 Sb 2.49
Fe  0.5000  0.5000  0.5000  12 Nb 3.52
Sb  0.0000  0.0000  0.0000  6 Nb 2.49



# 9
Sr2CeUAs4 | PBE | optimized geometry

Properties
**Formation energy**: -1.13 eV/atom

Lattice parameters (Å, degrees): 7.4569 4.2982 7.5318 90.00 109.16 90.00
Closest atoms and distances in Å follow each position.
Space group P2/m (No. 10)
Unique sites:
Sr  0.0000  0.0000  0.0000  6 As 3.22-3.24
Sr  0.5000  0.5000  0.0000  6 As 3.16
Ce  0.0000  0.5000  0.5000  6 As 2.96-2.97
U  0.5000  0.0000  0.5000  6 As 2.87-2.90
As  0.2487  0.0000  0.7187  1 U 2.87, 2 Ce 2.96, 2 Sr 3.16
As  0.2685  0.5000  0.2835  2 U 2.90, 1 Ce 2.97, 3 Sr 3.16-3.22



# 10
TlHgPt | PBE | optimized geometry

Properties
**ΔE to the lowest computed polymorph**: 44 meV per atom
**Formation energy**: 0.00 eV/atom

Lattice parameters (Å, degrees): 3.6181 10.3743 8.3702 90.00 90.00 90.00
Closest atoms and distances in Å follow each position.
Space group Cccm (No. 66)
Unique sites:
Tl  0.0000  0.0000  0.2500  4 Pt 2.77
Hg  0.2500  0.2500  0.0000  2 Pt 2.75
Pt  0.0000  0.5000  0.0000  2 Hg 2.75, 4 Tl 2.77



# 11
CrSb2TeC | PBE | optimized geometry

Properties
**ΔE to the lowest computed polymorph**: 0 meV per atom
**ΔE_f (raw)**: 6.99 eV/f.u.

Lattice parameters (Å, degrees): 4.6477 4.6477 4.6658 90.00 90.00 90.00
Closest atoms and distances in Å follow each position.
Space group P4/mmm (No. 123)
Unique sites:
Cr  0.0000  0.0000  0.0000  4 Te 3.29, 8 Sb 3.29
Sb  0.0000  0.5000  0.5000  2 C 2.32
Te  0.5000  0.5000  0.0000  2 C 2.33
C  0.5000  0.5000  0.5000  4 Sb 2.32, 2 Te 2.33



# 12
Tl3Hg4Pb2 | PBE | optimized geometry

Properties
**ΔE to the lowest computed polymorph**: 0 meV per atom
**Formation energy**: 0.00 eV/atom

Lattice parameters (Å, degrees): 5.4295 5.4893 10.1452 92.66 90.48 119.58
Closest atoms and distances in Å follow each position.
Space group P-1 (No. 2)
Unique sites:
Tl  0.0000  0.0000  0.0000  8 Hg 3.29-3.45
Tl  0.3352  0.6695  0.7745  7 Hg 3.33-3.41, 1 Pb 3.41
Hg  0.0012  0.0022  0.6597  1 Hg 3.24, 3 Pb 3.28-3.34, 4 Tl 3.33-3.45
Hg  0.3322  0.6647  0.1068  7 Tl 3.29-3.41, 1 Pb 3.37
Pb  0.3314  0.6645  0.4386  4 Hg 3.28-3.37, 3 Pb 3.37-3.41, 1 Tl 3.41



# 13
SrSe2F | PBE | optimized geometry

Properties
**ΔE to the lowest computed polymorph**: 756 meV per atom
**ΔE_f (raw)**: -3.93 eV/f.u.

Lattice parameters (Å, degrees): 4.9865 4.9865 19.9344 90.00 90.00 120.00
Closest atoms and distances in Å follow each position.
Space group R-3m (No. 166, hexagonal axes)
Unique sites:
Sr  0.0000  0.0000  0.0000  6 Se 3.12
Se  0.0000  0.0000  0.3938  1 F 2.12
F  0.0000  0.0000  0.5000  2 Se 2.12



# 14
Sr2Ca4O | PBE | optimized geometry

Properties
**ΔE_f (raw)**: -4.79 eV/f.u.

Lattice parameters (Å, degrees): 4.9522 4.9522 21.4084 90.00 90.00 90.00
Closest atoms and distances in Å follow each position.
Space group I4/mmm (No. 139)
Unique sites:
Sr  0.0000  0.0000  0.1888  5 Ca 3.85-4.22
Ca  0.0000  0.0000  0.3860  1 O 2.44
Ca  0.0000  0.5000  0.0000  2 O 2.48
O  0.0000  0.0000  0.5000  6 Ca 2.44-2.48



# 15
Tl2NiBr | PBE | optimized geometry

Properties
**ΔE to the lowest computed polymorph**: 33 meV per atom
**ΔE_f (raw)**: -0.01 eV/f.u.

Lattice parameters (Å, degrees): 15.8394 3.5854 3.7919 90.00 90.39 90.00
Closest atoms and distances in Å follow each position.
Space group Cm (No. 8)
Unique sites:
Tl  0.0000  0.0000  0.0000  4 Ni 2.67
Tl  0.1899  0.0000  0.5121  2 Ni 3.02, 4 Br 3.19
Ni  0.0366  0.5000  0.5008  4 Tl 2.67
Br  0.3060  0.5000  0.0162  5 Tl 3.07-3.19



# 16
TiIn3Pd | PBE | optimized geometry

Properties
**ΔE to the lowest computed polymorph**: 342 meV per atom
**Formation energy**: 0.74 eV/atom

Lattice parameters (Å, degrees): 5.2509 5.2509 5.2509 90.00 90.00 90.00
Closest atoms and distances in Å follow each position.
Space group Pm-3m (No. 221)
Unique sites:
Ti  0.0000  0.0000  0.0000  6 In 2.63
In  0.0000  0.0000  0.5000  2 Ti 2.63
Pd  0.5000  0.5000  0.5000  12 In 3.71



# 17
Al2Tl | PBE | optimized geometry

Properties
**ΔE to the lowest computed polymorph**: 175 meV per atom
**Formation energy**: 0.35 eV/atom

Lattice parameters (Å, degrees): 5.0960 5.0960 5.9424 90.00 90.00 120.00
Closest atoms and distances in Å follow each position.
Space group P6_3/mmc (No. 194)
Unique sites:
Al  0.0000  0.0000  0.0000  8 Al 2.97-3.30, 6 Tl 3.30
Al  0.3333  0.6667  0.2500  5 Tl 2.94-2.97
Tl  0.3333  0.6667  0.7500  5 Al 2.94-2.97



# 18
AlCu5Au3 | PBE | optimized geometry

Properties
**Formation energy**: 0.19 eV/atom

Lattice parameters (Å, degrees): 6.5403 6.5403 13.5724 90.00 90.00 90.00
Closest atoms and distances in Å follow each position.
Space group I4/mcm (No. 140)
Unique sites:
Al  0.0000  0.5000  0.2500  4 Cu 2.42
Cu  0.0000  0.0000  0.0000  4 Au 2.53
Cu  0.2226  0.2774  0.1567  1 Al 2.42, 3 Au 2.48-2.65, 1 Cu 2.58
Au  0.0000  0.0000  0.2500  8 Cu 2.65
Au  0.1395  0.3605  0.5000  4 Cu 2.48-2.53, 1 Au 2.58



# 19
AgRh | PBE | optimized geometry

Properties
**Formation energy**: 1.31 eV/atom

Lattice parameters (Å, degrees): 8.0121 8.0121 8.0121 90.00 90.00 90.00
Closest atoms and distances in Å follow each position.
Space group I-43m (No. 217)
Unique sites:
Ag  0.2035  0.2035  0.7965  4 Rh 2.56-2.73
Rh  0.1120  0.1120  0.1120  3 Rh 2.54, 4 Ag 2.56-2.73



# 20
SnGeRuI2 | PBE | optimized geometry

Properties
**ΔE_f (raw)**: 3.95 eV/f.u.

Lattice parameters (Å, degrees): 5.8449 5.8449 4.7563 90.00 90.00 90.00
Closest atoms and distances in Å follow each position.
Space group P4/mmm (No. 123)
Unique sites:
Sn  0.0000  0.0000  0.0000  8 I 3.77, 4 Ru 4.13
Ge  0.5000  0.5000  0.5000  2 Ru 2.38
Ru  0.5000  0.5000  0.0000  2 Ge 2.38
I  0.0000  0.5000  0.5000  2 Ge 2.92



# 21
HgRhO2 | PBE | optimized geometry

Properties
**ΔE_f (raw)**: -1.22 eV/f.u.

Lattice parameters (Å, degrees): 4.8505 3.2431 15.1499 90.00 90.00 90.00
Closest atoms and distances in Å follow each position.
Space group Pnma (No. 62)
Unique sites:
Hg  0.1438  0.2500  0.1645  2 O 2.36
Rh  0.0416  0.7500  0.4130  4 O 1.93-2.08
O  0.1948  0.2500  0.4723  3 Rh 2.00-2.08
O  0.2030  0.2500  0.8149  1 Rh 1.93



# 22
Ca2YHf | PBE | optimized geometry

Properties
**ΔE to the lowest computed polymorph**: 270 meV per atom
**Formation energy**: 0.76 eV/atom

Lattice parameters (Å, degrees): 8.9822 8.9822 6.4162 90.00 90.00 90.00
Closest atoms and distances in Å follow each position.
Space group I-42d (No. 122)
Unique sites:
Ca  0.2381  0.2500  0.1250  2 Hf 3.20, 2 Ca 3.22, 2 Y 3.35
Y  0.0000  0.0000  0.5000  2 Hf 3.21, 4 Ca 3.35
Hf  0.0000  0.0000  0.0000  4 Ca 3.20, 2 Y 3.21



# 23
CaTaRe2Pt | PBE | optimized geometry

Properties
**ΔE to the lowest computed polymorph**: 967 meV per atom
**Formation energy**: 2.53 eV/atom

Lattice parameters (Å, degrees): 4.5975 4.5975 4.6308 90.00 90.00 90.00
Closest atoms and distances in Å follow each position.
Space group P4/mmm (No. 123)
Unique sites:
Ca  0.0000  0.0000  0.0000  4 Re 2.30, 2 Pt 2.32
Ta  0.5000  0.5000  0.5000  4 Pt 3.25, 8 Re 3.26
Re  0.0000  0.5000  0.0000  2 Ca 2.30
Pt  0.0000  0.0000  0.5000  2 Ca 2.32



# 24
BaFe3Ni | PBE | optimized geometry

Properties
**ΔE to the lowest computed polymorph**: 1840 meV per atom
**Formation energy**: 2.59 eV/atom

Lattice parameters (Å, degrees): 4.8267 4.8267 4.8267 90.00 90.00 90.00
Closest atoms and distances in Å follow each position.
Space group Pm-3m (No. 221)
Unique sites:
Ba  0.0000  0.0000  0.0000  6 Fe 2.41
Fe  0.0000  0.0000  0.5000  2 Ba 2.41
Ni  0.5000  0.5000  0.5000  12 Fe 3.41



Results for raw total energy: -107.1, -39.2, -71.7, -69.3, -56.7, -44.2, -48.1, -32.5, -48.2, -34.8, -23.2, -15.7, -43.4, -42.2, -24.4, -17.6, -17.6, -129.4, -60.7, -17.0, -75.2, -69.5, -32.2, -20.1 (in eV for the cell shown, following the order of the records).
Results for DOS(E_F): 16.860, 3.254, 3.209, 1.420, 4.848, 3.428, 2.940, 9.670, 9.340, 0.798, 3.298, 4.521, 2.344, 7.126, 1.381, 4.611, 1.217, 3.371, 2.480, 2.651, 2.863, 7.457, 6.171, 8.021 (in states/eV/f.u., following the order of the records).
Results for V: 34.536, 16.656, 13.747, 30.908, 20.297, 34.837, 18.412, 24.767, 28.504, 26.181, 20.157, 29.166, 35.772, 37.502, 26.917, 28.955, 22.274, 16.127, 32.146, 32.498, 14.895, 32.354, 19.576, 22.490 (in Å³ per atom, following the order of the records).